PBEsol CaBeRu3, optimized geometry; N(E_F) = 7.1 states/eV/cell; energy relative to the elements = 0.555 eV/atom; DFT total energy = -6.7754 eV per atom; symmetry = Pm-3m; crystal system = cubic
1.0
-0.331 -4.103 -0.895
4.195 -0.363 0.116
-0.190 -0.882 4.114
Ru Ca Be
3 1 1
Direct
0.000 0.500 0.000
0.000 0.000 0.500
0.500 0.000 0.000
0.500 0.500 0.500
0.000 0.000 0.000



PBEsol CaBe3S, optimized geometry; N(E_F) = 1.9 states/eV/cell; E_form (uncorrected) = 0.579 eV per atom; DFT total energy = -3.1240 eV per atom; symmetry = Pm-3m; crystal system = cubic
1.0
-3.910 0.619 -1.669
0.934 -2.717 -3.194
-1.515 -3.270 2.338
Be Ca S
3 1 1
Direct
0.000 0.500 0.000
0.000 0.000 0.500
0.500 0.000 0.000
0.500 0.500 0.500
0.000 0.000 0.000



PBEsol CaScBe2S, optimized geometry; N(E_F) = 4.1 states/eV/cell; E_form (uncorrected) = 0.927 eV per atom; DFT total energy = -3.2979 eV per atom; symmetry = P4/mmm; crystal system = tetragonal
1.0
-3.355 2.206 -2.504
-2.111 -4.153 -0.832
-2.643 0.539 4.015
Sc Be Ca S
1 2 1 1
Direct
0.500 0.500 0.500
0.000 0.500 0.000
0.500 0.000 0.000
0.000 0.000 0.000
0.000 0.000 0.500



PBEsol CaBeSb2, optimized geometry; N(E_F) = 2.7 states/eV/cell; E_form (uncorrected) = 0.002 eV per atom; DFT total energy = -3.8102 eV per atom; symmetry = P4mm; crystal system = tetragonal
1.0
3.801 0.000 0.000
0.000 3.801 0.000
0.000 0.000 6.615
Sb Ca Be
2 1 1
Direct
0.000 0.000 0.017
0.500 0.500 0.317
0.500 0.500 0.772
0.000 0.000 0.393



PBEsol CaBeSb2, optimized geometry; N(E_F) = 1.6 states/eV/cell; E_form (uncorrected) = -0.066 eV per atom; DFT total energy = -3.8784 eV per atom; symmetry = Imm2; crystal system = orthorhombic
1.0
3.842 0.000 0.000
0.000 4.755 0.000
-1.921 -2.378 5.015
Sb Ca Be
2 1 1
Direct
0.002 0.002 0.004
0.799 0.299 0.598
0.230 0.730 0.461
0.468 0.468 0.937



PBEsol CaBeSb2, optimized geometry; N(E_F) = 1.7 states/eV/cell; E_form (uncorrected) = -0.082 eV per atom; DFT total energy = -3.8942 eV per atom; symmetry = P4/mmm; crystal system = tetragonal
1.0
-0.278 -3.584 2.094
2.011 -2.216 -3.525
4.152 0.777 1.880
Sb Ca Be
2 1 1
Direct
0.000 0.000 0.500
0.000 0.500 0.000
0.500 0.500 0.500
0.500 0.000 0.000



PBEsol CaBe2Sb, optimized geometry; N(E_F) = 1.1 states/eV/cell; E_form (uncorrected) = -0.084 eV per atom; DFT total energy = -3.7568 eV per atom; symmetry = R3m; crystal system = trigonal
1.0
-3.019 -0.088 2.380
-1.640 -3.359 0.901
2.057 -1.689 5.653
Sb Ca Be
1 1 2
Direct
0.711 0.711 0.867
0.518 0.518 0.447
0.964 0.964 0.107
0.298 0.298 0.107



PBEsol CaBeSb2, optimized geometry; N(E_F) = 2.3 states/eV/cell; E_form (uncorrected) = 0.071 eV per atom; DFT total energy = -3.7406 eV per atom; symmetry = P4mm; crystal system = tetragonal
1.0
3.283 0.000 0.000
0.000 3.283 0.000
0.000 0.000 8.630
Sb Ca Be
2 1 1
Direct
0.000 0.000 0.984
0.500 0.500 0.324
0.500 0.500 0.713
0.000 0.000 0.478



PBEsol CaBe2Sb, optimized geometry; N(E_F) = 1.7 states/eV/cell; E_form (uncorrected) = 0.204 eV per atom; DFT total energy = -3.4683 eV per atom; symmetry = R-3m; crystal system = trigonal
1.0
-0.332 3.139 -2.504
-1.396 -0.546 -3.740
-5.756 1.755 -0.278
Sb Ca Be
1 1 2
Direct
0.000 0.000 0.000
0.500 0.500 0.500
0.279 0.279 0.164
0.721 0.721 0.836



PBEsol CaSc2Be, optimized geometry; N(E_F) = 8.6 states/eV/cell; energy relative to the elements = 0.415 eV/atom; DFT total energy = -4.4213 eV per atom; symmetry = I-42d; crystal system = tetragonal
1.0
5.972 0.000 0.000
2.986 5.555 0.000
2.986 0.000 5.555
Sc Be Ca
4 2 2
Direct
0.562 0.563 0.063
0.188 0.437 0.937
0.375 0.063 0.437
0.875 0.937 0.563
0.250 0.500 0.500
0.500 0.000 0.000
0.750 0.500 0.500
0.000 0.000 0.000



PBEsol CaScBe, optimized geometry; N(E_F) = 2.8 states/eV/cell; energy relative to the elements = 0.457 eV/atom; DFT total energy = -3.7895 eV per atom; symmetry = P3m1; crystal system = trigonal
1.0
3.705 0.000 0.000
0.000 4.622 0.000
0.000 -2.311 4.003
Sc Be Ca
1 1 1
Direct
0.213 0.667 0.333
0.098 0.000 0.000
0.689 0.333 0.667



PBEsol Ca2ScBe, optimized geometry; N(E_F) = 3.9 states/eV/cell; energy relative to the elements = 0.288 eV/atom; DFT total energy = -3.4298 eV per atom; symmetry = Immm; crystal system = orthorhombic
1.0
3.295 0.000 0.000
0.000 4.168 0.000
-1.648 -2.084 8.095
Sc Be Ca
1 1 2
Direct
0.500 0.000 0.000
0.000 0.500 0.000
0.659 0.659 0.318
0.341 0.341 0.682